Model i:
DFT (PBE) results for an optimized crystal structure of MgH3W.

Unit cell a=3.4448 b=3.4448 c=3.4448 alpha=90.00 beta=90.00 gamma=90.00
With the nearest neighbours (Å) after each atom.
Space group Pm-3m (No. 221)
Symmetry-distinct sites (fractional):
Mg 0.0000 0.0000 0.0000 [1 per cell]  6 H 1.72
H 0.0000 0.0000 0.5000 [3 per cell]  2 Mg 1.72
W 0.5000 0.5000 0.5000 [1 per cell]  12 H 2.44

Density of states at the Fermi level in states/eV/atom: 0.4566
Magnetization in μB per formula unit: 0.0

---

Model ii:
DFT (PBE) results for an optimized crystal structure of MgH3W.

Unit cell a=3.5719 b=3.5719 c=3.5719 alpha=90.00 beta=90.00 gamma=90.00
With the nearest neighbours (Å) after each atom.
Space group Pm-3m (No. 221)
Symmetry-distinct sites (fractional):
Mg 0.0000 0.0000 0.0000 [1 per cell]  12 H 2.53
H 0.0000 0.5000 0.5000 [3 per cell]  2 W 1.79
W 0.5000 0.5000 0.5000 [1 per cell]  6 H 1.79

Density of states at the Fermi level in states/eV/atom: 0.2775
Magnetization in μB per formula unit: 0.0

---

The relative energies come out as model i 0.682; model ii 0.000, with values in eV/atom.